No. 1
Below is a geometry-optimized Ca3NCl structure, with properties calculated at the PBE-GGA level.

Results
**Density of states at the Fermi level**: 2.8 states/eV/f.u.
**Total moment**: 0.00 Bohr magnetons per cell
**Polymorph energy (0 for the lowest one)**: 135 meV/atom
**DFT total energy**: -4.031 eV per atom
**ΔE_f (raw)**: -0.80 eV per atom

Cell and atoms, written as POSCAR:
```
Ca3NCl
1.0
4.9443 0.0000 0.0000
0.0000 4.9443 0.0000
0.0000 0.0000 4.9443
Ca N Cl
3 1 1
Cartesian
0.0000 0.0000 2.4721
0.0000 2.4721 0.0000
2.4721 0.0000 0.0000
0.0000 0.0000 0.0000
2.4721 2.4721 2.4721
```

=====

No. 2
Below is a geometry-optimized Ca2NCl2 structure, with properties calculated at the PBE-GGA level.

Results
**Density of states at the Fermi level**: 0.7 states/eV/f.u.
**Total moment**: 1.00 Bohr magnetons per cell
**DFT total energy**: -3.899 eV per atom
**ΔE_f (raw)**: -0.69 eV per atom

Cell and atoms, written as POSCAR:
```
Ca2NCl2
1.0
-2.1340 2.1340 6.6272
2.1340 -2.1340 6.6272
2.1340 2.1340 -6.6272
Ca N Cl
2 1 2
Cartesian
0.0000 0.0000 1.5924
0.0000 0.0000 11.6621
0.0000 0.0000 6.6272
2.1340 0.0000 3.3136
0.0000 2.1340 3.3136
```

=====

No. 3
Below is a geometry-optimized Ca4N2Cl5 structure, with properties calculated at the PBE-GGA level.

Results
**Density of states at the Fermi level**: 2.2 states/eV/f.u.
**Total moment**: 1.02 Bohr magnetons per cell
**Polymorph energy (0 for the lowest one)**: 7 meV/atom
**DFT total energy**: -4.895 eV per atom
**ΔE_f (raw)**: -1.81 eV per atom

Cell and atoms, written as POSCAR:
```
Ca4N2Cl5
1.0
-1.9504 3.6873 8.4154
1.9504 -3.6873 8.4154
1.9504 3.6873 -8.4154
Ca N Cl
4 2 5
Cartesian
0.0000 0.0000 2.9715
1.9504 1.5741 0.0000
0.0000 2.1132 8.4154
0.0000 0.0000 13.8593
0.0000 0.0000 0.6715
0.0000 0.0000 16.1593
1.9504 1.9429 -2.7959
1.9504 1.9429 2.7959
0.0000 3.6873 0.0000
0.0000 1.7444 5.6195
0.0000 1.7444 11.2113
```

=====

No. 4
Below is a geometry-optimized Ca4N2Cl3 structure, with properties calculated at the PBE-GGA level.

Results
**Total moment**: 2.05 Bohr magnetons per cell
**DFT total energy**: -4.818 eV per atom
**ΔE_f (raw)**: -1.46 eV per atom

Cell and atoms, written as POSCAR:
```
Ca4N2Cl3
1.0
6.5039 -4.8628 0.0000
6.5039 4.8628 0.0000
-0.0907 0.0000 6.3160
Ca N Cl
8 4 6
Cartesian
4.7701 3.0968 6.1723
4.2916 0.7488 2.7086
8.1017 3.0968 3.3017
4.2463 -0.7488 5.8666
8.6709 0.7488 0.4494
4.8155 -3.0968 3.0143
8.6256 -0.7488 3.6074
8.1471 -3.0968 0.1437
3.7917 1.2166 0.5439
3.7464 -1.2166 3.7019
9.1708 1.2166 2.6141
9.1254 -1.2166 5.7722
5.1259 3.5598 3.0127
7.8366 3.5598 0.1454
6.4359 0.8677 4.7370
6.4813 -0.8677 1.5790
5.0805 -3.5598 6.1707
7.7913 -3.5598 3.3034
```

=====

No. 5
Below is a geometry-optimized Ca2NCl structure, with properties calculated at the PBE-GGA level.

Results
**Density of states at the Fermi level**: 0.0 states/eV/f.u.
**Total moment**: 0.00 Bohr magnetons per cell
**DFT total energy**: -4.456 eV per atom
**ΔE_f (raw)**: -0.91 eV per atom

Cell and atoms, written as POSCAR:
```
Ca2NCl
1.0
0.0000 3.2603 3.2603
3.2603 0.0000 3.2603
3.2603 3.2603 0.0000
Ca N Cl
2 1 1
Cartesian
1.6302 1.6302 1.6302
4.8905 4.8905 4.8905
0.0000 0.0000 0.0000
3.2603 3.2603 3.2603
```

=====

No. 6
Below is a geometry-optimized CaNCl2 structure, with properties calculated at the PBE-GGA level.

Results
**Density of states at the Fermi level**: 0.0 states/eV/f.u.
**Total moment**: 6.00 Bohr magnetons per cell
**Polymorph energy (0 for the lowest one)**: 0 meV/atom
**DFT total energy**: -4.001 eV per atom
**ΔE_f (raw)**: -0.50 eV per atom

Cell and atoms, written as POSCAR:
```
CaNCl2
1.0
7.1777 0.0000 0.0000
0.0000 4.1468 0.0000
-2.7530 0.0000 8.4032
Ca N Cl
2 2 4
Cartesian
1.7948 0.0000 0.0007
2.6299 2.0734 8.4025
0.4192 2.0791 4.1914
4.0054 0.0057 4.2117
-2.1537 2.0743 7.0124
2.9912 2.0740 1.3915
1.4335 0.0006 7.0116
6.5783 0.0009 1.3907
```

=====

> What is the ΔE_f (raw) in the sixth record?

-0.50 eV per atom

=====

> Which value of total moment does entry 4 give?

2.05 Bohr magnetons per cell